1.
Material: CeFe2H6
Method: DFT, PBE
State: optimized geometry

Summary:
Volume (A^3/atom): 8.82
Fermi-level density of states (states/eV/cell): 6.25
Symmetry: No. 12
Final energy (eV/atom): -4.9116

abc: 3.655 4.377 5.885
angles: 71.39 71.91 65.32
Each line ends with the local moment (μB).
Atoms (fractional coordinates):
1 Fe 0.195 0.702 0.907  1.97
2 H 0.705 0.692 0.898  -0.01
3 H 0.295 0.308 0.102  -0.01
4 H 0.988 0.875 0.149  -0.01
5 Ce 0.000 0.500 0.500  -0.78
6 H 0.012 0.125 0.851  -0.01
7 H 0.288 0.820 0.605  0.00
8 H 0.712 0.180 0.395  0.00
9 Fe 0.805 0.298 0.093  1.97

***

2.
Material: Y4Ge3
Method: DFT, PBE
State: optimized geometry

Summary:
Volume (A^3/atom): 24.88
Fermi-level density of states (states/eV/cell): 1.41
Symmetry: No. 220
ΔH_f (0 K) (meV/atom): -893

abc: 7.677 7.677 7.677
angles: 109.47 109.47 109.47
Atoms (fractional coordinates):
1 Y 0.500 0.869 0.500
2 Y 0.369 0.500 0.000
3 Y 0.000 0.000 0.369
4 Y 0.631 0.131 0.131
5 Ge 0.250 0.875 0.125
6 Y 0.000 0.000 0.869
7 Ge 0.625 0.750 0.875
8 Ge 0.875 0.250 0.625
9 Y 0.500 0.369 0.500
10 Ge 0.750 0.625 0.375
11 Y 0.869 0.500 0.000
12 Ge 0.125 0.375 0.250
13 Y 0.131 0.631 0.631
14 Ge 0.375 0.125 0.750

***

3.
Material: LiDy2YTe4
Method: DFT, PBE
State: optimized geometry

Summary:
Volume (A^3/atom): 28.84
Fermi-level density of states (states/eV/cell): 3.18
Symmetry: No. 10
Uncorrected formation energy (eV per atom): -1.315

abc: 4.317 7.525 7.520
angles: 109.18 90.00 90.00
Atoms (fractional coordinates):
1 Dy 0.000 0.500 0.500
2 Te 0.000 0.244 0.755
3 Dy 0.500 0.000 0.500
4 Te 0.500 0.242 0.242
5 Y 0.500 0.500 0.000
6 Li 0.000 0.000 0.000
7 Te 0.000 0.756 0.245
8 Te 0.500 0.758 0.758

***

4.
Material: Tb3Zn3Ga8
Method: DFT, PBE
State: optimized geometry

Summary:
Volume (A^3/atom): 18.78
Fermi-level density of states (states/eV/cell): 3.97
Symmetry: No. 71
ΔH_f (0 K) (meV/atom): -448

abc: 4.225 8.263 8.263
angles: 74.20 75.19 75.19
Atoms (fractional coordinates):
1 Ga 0.639 0.081 0.641
2 Ga 0.842 0.530 0.786
3 Ga 0.158 0.214 0.470
4 Tb 0.186 0.814 0.814
5 Tb 0.814 0.186 0.186
6 Ga 0.158 0.470 0.214
7 Ga 0.639 0.641 0.081
8 Zn 0.000 0.797 0.203
9 Zn 0.000 0.203 0.797
10 Tb 0.500 0.500 0.500
11 Ga 0.842 0.786 0.530
12 Ga 0.361 0.359 0.919
13 Zn 0.500 0.000 0.000
14 Ga 0.361 0.919 0.359

***

5.
Material: Rb2Zr2NiS6
Method: DFT, PBE
State: optimized geometry

Summary:
Volume (A^3/atom): 25.43
Symmetry: No. 12
Uncorrected formation energy (eV per atom): -1.216

abc: 6.401 6.401 8.160
angles: 97.68 97.68 119.80
Each line ends with the local moment (μB).
Atoms (fractional coordinates):
1 S 0.063 0.385 0.680  0.07
2 Rb 0.168 0.832 0.000  0.00
3 S 0.615 0.937 0.320  0.07
4 S 0.737 0.737 0.678  0.07
5 S 0.937 0.615 0.320  0.07
6 S 0.263 0.263 0.322  0.07
7 Zr 0.667 0.333 0.500  0.03
8 Rb 0.832 0.168 0.000  0.00
9 S 0.385 0.063 0.680  0.07
10 Ni 0.000 0.000 0.500  1.25
11 Zr 0.333 0.667 0.500  0.03

***

6.
Material: CuReCl4
Method: DFT, PBE
State: optimized geometry

Summary:
Volume (A^3/atom): 22.86
Fermi-level density of states (states/eV/cell): 4.09
Symmetry: No. 216
Uncorrected formation energy (eV per atom): 1.515

abc: 5.789 5.789 5.789
angles: 60.00 60.00 60.00
Each line ends with the local moment (μB).
Atoms (fractional coordinates):
1 Cl 0.375 0.375 0.375  -0.33
2 Re 0.000 0.000 0.000  4.06
3 Cl 0.876 0.375 0.375  -0.33
4 Cu 0.750 0.750 0.750  0.00
5 Cl 0.375 0.876 0.375  -0.33
6 Cl 0.375 0.375 0.876  -0.33

***

7.
Material: TbHoZnOs
Method: DFT, PBE
State: optimized geometry

Summary:
Volume (A^3/atom): 20.89
Fermi-level density of states (states/eV/cell): 2.98
Symmetry: No. 216
ΔH_f (0 K) (meV/atom): -278

abc: 4.908 4.908 4.908
angles: 60.00 60.00 60.00
Atoms (fractional coordinates):
1 Tb 0.750 0.750 0.750
2 Ho 0.250 0.250 0.250
3 Zn 0.000 0.000 0.000
4 Os 0.500 0.500 0.500

***

8.
Material: BaNp2CdO8
Method: DFT, PBE
State: optimized geometry

Summary:
Volume (A^3/atom): 14.35
Fermi-level density of states (states/eV/cell): 10.36
Symmetry: No. 82
Uncorrected formation energy (eV per atom): -2.303

abc: 5.686 5.686 6.674
angles: 115.21 115.21 90.00
Each line ends with the local moment (μB).
Atoms (fractional coordinates):
1 Ba 0.750 0.250 0.500  -0.01
2 O 0.195 0.608 0.776  -0.09
3 Cd 0.000 0.000 0.000  0.00
4 Np 0.500 0.500 0.000  1.39
5 Np 0.250 0.750 0.500  1.37
6 O 0.943 0.404 0.265  -0.09
7 O 0.392 0.419 0.224  -0.09
8 O 0.139 0.057 0.735  -0.09
9 O 0.596 0.678 0.735  -0.09
10 O 0.322 0.861 0.265  -0.09
11 O 0.832 0.805 0.224  -0.09
12 O 0.581 0.168 0.776  -0.09

***

9.
Material: Mo2HSBr
Method: DFT, PBE
State: optimized geometry

Summary:
Volume (A^3/atom): 23.90
Fermi-level density of states (states/eV/cell): 5.23
Symmetry: No. 123
Final energy (eV/atom): -3.8998

abc: 4.864 5.050 4.864
angles: 90.00 90.00 90.00
Each line ends with the local moment (μB).
Atoms (fractional coordinates):
1 Mo 0.000 0.000 0.500  2.53
2 S 0.000 0.500 0.000  0.01
3 Mo 0.500 0.000 0.000  2.38
4 H 0.500 0.500 0.500  -0.23
5 Br 0.000 0.000 0.000  -0.03

***

10.
Material: BeAg2Rh
Method: DFT, PBE
State: optimized geometry

Summary:
Volume (A^3/atom): 14.71
Fermi-level density of states (states/eV/cell): 3.20
Symmetry: No. 65
ΔH_f (0 K) (meV/atom): 297

abc: 2.734 2.734 8.642
angles: 90.00 90.00 114.41
Each line ends with the local moment (μB).
Atoms (fractional coordinates):
1 Rh 0.500 0.500 0.750  0.32
2 Ag 0.000 0.000 0.473  0.00
3 Be 0.500 0.500 0.250  0.00
4 Ag 0.000 0.000 0.027  0.00

***

11.
Material: AlBrF
Method: DFT, PBE
State: optimized geometry

Summary:
Volume (A^3/atom): 26.07
Fermi-level density of states (states/eV/cell): 1.28
Symmetry: No. 12
Uncorrected formation energy (eV per atom): -1.620

abc: 5.100 6.713 4.911
angles: 111.45 90.03 91.83
Atoms (fractional coordinates):
1 Al 0.139 0.208 0.604
2 Br 0.218 0.300 0.150
3 Al 0.861 0.792 0.396
4 Br 0.782 0.700 0.850
5 F 0.202 0.912 0.456
6 F 0.798 0.088 0.544

***

12.
Material: LaTmPuO6
Method: DFT, PBE
State: optimized geometry

Summary:
Volume (A^3/atom): 15.83
Fermi-level density of states (states/eV/cell): 15.40
Symmetry: No. 163
Uncorrected formation energy (eV per atom): -3.113

abc: 5.734 5.734 10.007
angles: 90.00 90.00 120.00
Each line ends with the local moment (μB).
Atoms (fractional coordinates):
1 O 0.021 0.366 0.639  -0.07
2 O 0.366 0.021 0.139  -0.07
3 Pu 0.333 0.667 0.750  2.44
4 O 0.634 0.979 0.861  -0.07
5 O 0.346 0.979 0.639  -0.07
6 O 0.979 0.346 0.139  -0.07
7 O 0.366 0.346 0.361  -0.07
8 O 0.654 0.634 0.139  -0.07
9 O 0.634 0.654 0.639  -0.07
10 O 0.021 0.654 0.861  -0.07
11 Tm 0.667 0.333 0.750  0.00
12 Tm 0.333 0.667 0.250  0.00
13 O 0.979 0.634 0.361  -0.07
14 O 0.654 0.021 0.361  -0.07
15 O 0.346 0.366 0.861  -0.07
16 La 0.000 0.000 0.500  0.00
17 La 0.000 0.000 0.000  0.00
18 Pu 0.667 0.333 0.250  2.44

***

13.
Material: Ba2Tl2I
Method: DFT, PBE
State: optimized geometry

Summary:
Volume (A^3/atom): 44.85
Fermi-level density of states (states/eV/cell): 10.05
Symmetry: No. 127
Uncorrected formation energy (eV per atom): -0.606

abc: 9.878 9.878 4.597
angles: 90.00 90.00 90.00
Atoms (fractional coordinates):
1 I 0.000 0.000 0.000
2 Tl 0.106 0.606 0.500
3 Ba 0.808 0.692 0.000
4 I 0.500 0.500 0.000
5 Ba 0.192 0.308 0.000
6 Tl 0.894 0.394 0.500
7 Tl 0.394 0.106 0.500
8 Tl 0.606 0.894 0.500
9 Ba 0.692 0.192 0.000
10 Ba 0.308 0.808 0.000

***

14.
Material: CeNdSe3
Method: DFT, PBE
State: optimized geometry

Summary:
Volume (A^3/atom): 27.90
Fermi-level density of states (states/eV/cell): 12.29
Symmetry: No. 59
Uncorrected formation energy (eV per atom): -1.810

abc: 4.173 7.259 9.210
angles: 90.00 90.00 90.00
Each line ends with the local moment (μB).
Atoms (fractional coordinates):
1 Nd 0.000 0.000 0.601  0.01
2 Se 0.000 0.226 0.326  -0.01
3 Se 0.500 0.500 0.064  -0.02
4 Se 0.500 0.726 0.674  -0.01
5 Ce 0.500 0.000 0.153  0.89
6 Ce 0.000 0.500 0.847  0.89
7 Se 0.000 0.000 0.936  -0.02
8 Nd 0.500 0.500 0.399  0.01
9 Se 0.500 0.274 0.674  -0.01
10 Se 0.000 0.774 0.326  -0.01

***

15.
Material: CsP2WCl
Method: DFT, PBE
State: optimized geometry

Summary:
Volume (A^3/atom): 33.36
Fermi-level density of states (states/eV/cell): 11.71
Symmetry: No. 123
Uncorrected formation energy (eV per atom): 2.763

abc: 5.432 5.432 5.652
angles: 90.00 90.00 90.00
Each line ends with the local moment (μB).
Atoms (fractional coordinates):
1 P 0.500 0.000 0.000  0.26
2 W 0.500 0.500 0.500  -0.60
3 P 0.000 0.500 0.000  0.26
4 Cl 0.000 0.000 0.500  0.04
5 Cs 0.000 0.000 0.000  0.04

***

16.
Material: Nd6Dy16Th7
Method: DFT, PBE
State: optimized geometry

Summary:
Volume (A^3/atom): 35.20
Fermi-level density of states (states/eV/cell): 48.80
Symmetry: No. 225
ΔH_f (0 K) (meV/atom): 253

abc: 11.301 11.301 11.301
angles: 60.00 60.00 60.00
Atoms (fractional coordinates):
1 Nd 0.741 0.259 0.741
2 Dy 0.871 0.871 0.388
3 Dy 0.035 0.655 0.655
4 Nd 0.741 0.741 0.259
5 Nd 0.741 0.259 0.259
6 Dy 0.345 0.345 0.345
7 Dy 0.129 0.129 0.129
8 Th 0.000 0.500 0.000
9 Dy 0.129 0.612 0.129
10 Dy 0.655 0.655 0.035
11 Nd 0.259 0.741 0.259
12 Dy 0.345 0.345 0.965
13 Th 0.500 0.000 0.500
14 Dy 0.612 0.129 0.129
15 Th 0.000 0.000 0.000
16 Nd 0.259 0.741 0.741
17 Dy 0.345 0.965 0.345
18 Th 0.500 0.500 0.000
19 Nd 0.259 0.259 0.741
20 Th 0.000 0.500 0.500
21 Th 0.500 0.000 0.000
22 Dy 0.129 0.129 0.612
23 Dy 0.871 0.871 0.871
24 Th 0.000 0.000 0.500
25 Dy 0.965 0.345 0.345
26 Dy 0.871 0.388 0.871
27 Dy 0.655 0.655 0.655
28 Dy 0.388 0.871 0.871
29 Dy 0.655 0.035 0.655

***

17.
Material: ErZn2Pd
Method: DFT, PBE
State: optimized geometry

Summary:
Volume (A^3/atom): 18.46
Fermi-level density of states (states/eV/cell): 2.80
Symmetry: No. 123
ΔH_f (0 K) (meV/atom): -422

abc: 4.632 3.992 3.992
angles: 90.00 90.00 90.00
Atoms (fractional coordinates):
1 Zn 0.000 0.500 0.000
2 Zn 0.000 0.000 0.500
3 Er 0.500 0.000 0.000
4 Pd 0.500 0.500 0.500

***

18.
Material: AcDy2Al
Method: DFT, PBE
State: optimized geometry

Summary:
Volume (A^3/atom): 32.65
Fermi-level density of states (states/eV/cell): 4.58
Symmetry: No. 166
ΔH_f (0 K) (meV/atom): 95

abc: 3.601 3.601 11.814
angles: 81.23 81.23 60.00
Atoms (fractional coordinates):
1 Al 0.500 0.500 0.500
2 Dy 0.104 0.104 0.689
3 Ac 0.000 0.000 0.000
4 Dy 0.896 0.896 0.311

***

19.
Material: PmPr4Ho3
Method: DFT, PBE
State: optimized geometry

Summary:
Volume (A^3/atom): 34.28
Fermi-level density of states (states/eV/cell): 28.24
Symmetry: No. 31
ΔH_f (0 K) (meV/atom): 31

abc: 6.347 7.369 11.725
angles: 90.00 90.00 90.00
Atoms (fractional coordinates):
1 Pr 0.483 0.873 0.246
2 Ho 0.481 0.380 0.250
3 Ho 0.147 0.381 0.500
4 Ho 0.981 0.620 0.750
5 Pr 0.151 0.870 0.500
6 Ho 0.981 0.620 0.250
7 Ho 0.481 0.380 0.750
8 Pm 0.150 0.376 0.000
9 Ho 0.647 0.619 0.000
10 Pr 0.651 0.130 0.000
11 Pm 0.650 0.624 0.500
12 Pr 0.483 0.873 0.754
13 Pr 0.983 0.127 0.746
14 Pr 0.641 0.130 0.500
15 Pr 0.141 0.870 0.000
16 Pr 0.983 0.127 0.254

***

20.
Material: Pm2GdMg
Method: DFT, PBE
State: optimized geometry

Summary:
Volume (A^3/atom): 31.06
Fermi-level density of states (states/eV/cell): 5.95
Symmetry: No. 225
ΔH_f (0 K) (meV/atom): 29

abc: 5.601 5.601 5.601
angles: 60.00 60.00 60.00
Each line ends with the local moment (μB).
Atoms (fractional coordinates):
1 Pm 0.250 0.250 0.250  0.06
2 Pm 0.750 0.750 0.750  0.06
3 Mg 0.500 0.500 0.500  -0.01
4 Gd 0.000 0.000 0.000  7.21